Below is a geometry-optimized Ga3PAu structure, with properties calculated at the PBE level.

Summary:
**D(E_F)**: 3.7 states/eV/f.u.
**E above lowest polymorph**: 92 meV/atom
**Uncorrected energy**: -15.7 eV per cell
**ΔE_f**: 0.408 eV per atom

CIF file:
```
data_Ga3PAu
_cell_length_a 4.924
_cell_length_b 4.924
_cell_length_c 4.924
_cell_angle_alpha 90.00
_cell_angle_beta 90.00
_cell_angle_gamma 90.00
_space_group_name_H-M_alt 'P 1'
_space_group_IT_number 1
_space_group_name_Hall 'P 1'
loop_
_atom_site_label
_atom_site_fract_x
_atom_site_fract_y
_atom_site_fract_z
_atom_site_occupancy
P1 0.500 0.500 0.500 1
Au1 0.000 0.000 0.000 1
Ga1 0.000 0.500 0.000 1
Ga2 0.000 0.000 0.500 1
Ga3 0.500 0.000 0.000 1
```